No. 1
Density functional theory data (PBE-GGA) for a relaxed structure of Mg6SnPd3.

```
20
Lattice="5.086 -6.380 0.000 5.086 6.380 0.000 0.000 0.000 6.296" Properties=species:S:1:pos:R:3 pbc="T T T"
Mg 5.086 5.932 3.148
Mg 2.603 2.485 5.952
Mg 5.086 2.949 3.894
Mg 3.218 0.306 3.886
Mg 3.218 -0.306 0.738
Mg 2.603 -2.485 2.804
Mg 7.569 2.485 5.952
Mg 6.954 0.306 3.886
Mg 6.954 -0.306 0.738
Mg 5.086 -2.949 0.746
Mg 7.569 -2.485 2.804
Mg 5.086 -5.932 0.000
Sn 5.086 3.668 0.894
Sn 5.086 -3.668 4.042
Pd 1.525 1.489 2.000
Pd 1.525 -1.489 5.148
Pd 5.086 1.178 5.749
Pd 5.086 -1.178 2.602
Pd 8.647 1.489 2.000
Pd 8.647 -1.489 5.148
```

The energy of formation comes out at -387 meV per atom.

=====

No. 2
Density functional theory data (PBE-GGA) for a relaxed structure of SrAcDy2S4.

```
8
Lattice="7.067 0.000 0.000 0.000 4.046 0.000 -2.311 0.000 6.763" Properties=species:S:1:pos:R:3 pbc="T T T"
Sr 0.000 0.000 0.000
Ac 3.533 2.023 0.000
Dy -1.156 2.023 3.382
Dy 2.378 0.000 3.382
S 0.003 0.000 4.895
S 1.169 2.023 1.854
S 3.587 2.023 4.909
S 4.752 0.000 1.869
```

As for the uncorrected formation energy: -2.002 eV/atom.

=====

No. 3
Density functional theory data (PBE-GGA) for a relaxed structure of Th4SbIr.

```
12
Lattice="7.518 0.000 0.000 0.000 7.248 0.000 -0.198 0.000 7.188" Properties=species:S:1:pos:R:3 pbc="T T T"
Th 0.991 1.117 1.208
Th 0.892 2.507 4.801
Th 2.483 4.561 0.877
Th 2.384 6.311 4.470
Th 4.935 0.937 2.717
Th 4.836 2.687 6.311
Th 6.427 4.741 2.386
Th 6.328 6.131 5.980
Sb 3.759 0.000 0.000
Sb 3.660 3.624 3.594
Ir -0.099 0.000 3.594
Ir 0.000 3.624 0.000
```

As for the uncorrected formation energy: -0.369 eV/atom.

=====

No. 4
Density functional theory data (PBE-GGA) for a relaxed structure of La8P3CI4.

```
16
Lattice="4.238 2.447 7.859 -4.238 2.447 7.859 0.000 -4.894 7.859" Properties=species:S:1:pos:R:3 pbc="T T T"
La 0.000 0.000 5.440
La -1.958 -1.131 13.235
La 0.000 -2.261 10.341
La -1.958 1.131 10.341
La 1.958 -1.131 13.235
La 0.000 2.261 13.235
La 1.958 1.131 10.341
La 0.000 0.000 18.136
P -4.238 0.000 11.788
P -2.119 1.223 3.929
P 2.119 1.223 3.929
C 0.000 0.000 11.788
I 0.000 0.000 0.000
I -2.119 -1.223 7.859
I -2.119 1.223 15.718
I 0.000 2.447 7.859
```

As for the uncorrected formation energy: -1.272 eV/atom.

=====

No. 5
Density functional theory data (PBE-GGA) for a relaxed structure of ScGaPb.

```
3
Lattice="4.382 0.000 0.000 -2.191 3.795 0.000 0.000 0.000 4.256" Properties=species:S:1:pos:R:3 pbc="T T T"
Sc 0.000 0.000 0.000
Ga 0.000 2.530 1.169
Pb 2.191 1.265 2.466
```

The energy of formation comes out at -204 meV per atom. The calculation puts the energy above the most stable polymorph in this dataset at 40.2 meV/atom.

=====

No. 6
Density functional theory data (PBE-GGA) for a relaxed structure of TcMo2RhCl.

```
5
Lattice="4.790 0.000 0.000 0.000 4.790 0.000 0.000 0.000 4.587" Properties=species:S:1:pos:R:3 pbc="T T T"
Tc 0.000 0.000 0.000
Mo 0.000 2.395 2.294
Mo 2.395 0.000 2.294
Rh 2.395 2.395 2.294
Cl 2.395 2.395 0.000
```

As for the uncorrected formation energy: 1.886 eV/atom.

=====

No. 7
Density functional theory data (PBE-GGA) for a relaxed structure of CaHI2N.

```
5
Lattice="5.600 0.000 0.000 0.000 5.600 0.000 0.000 0.000 3.630" Properties=species:S:1:pos:R:3 pbc="T T T"
Ca 0.000 0.000 0.000
H 2.800 2.800 1.815
I 0.000 2.800 1.815
I 2.800 0.000 1.815
N 2.800 2.800 0.000
```

The calculation puts the energy above the most stable polymorph in this dataset at 0.0 meV/atom.

=====

No. 8
Density functional theory data (PBE-GGA) for a relaxed structure of CdCuAg3.

```
5
Lattice="4.819 0.000 0.000 0.000 4.819 0.000 0.000 0.000 4.819" Properties=species:S:1:pos:R:3 pbc="T T T"
Cd 0.000 0.000 0.000
Cu 2.410 2.410 2.410
Ag 0.000 2.410 2.410
Ag 2.410 0.000 2.410
Ag 2.410 2.410 0.000
```

The energy of formation comes out at 495 meV per atom. The calculation puts the energy above the most stable polymorph in this dataset at 0.0 meV/atom.

=====

Please write out number 2 again, unchanged.
Density functional theory data (PBE-GGA) for a relaxed structure of SrAcDy2S4.

```
8
Lattice="7.067 0.000 0.000 0.000 4.046 0.000 -2.311 0.000 6.763" Properties=species:S:1:pos:R:3 pbc="T T T"
Sr 0.000 0.000 0.000
Ac 3.533 2.023 0.000
Dy -1.156 2.023 3.382
Dy 2.378 0.000 3.382
S 0.003 0.000 4.895
S 1.169 2.023 1.854
S 3.587 2.023 4.909
S 4.752 0.000 1.869
```

As for the uncorrected formation energy: -2.002 eV/atom.